Below is NaAlGe after structural relaxation, with properties calculated at the GGA-PBE level.

a b c (Å): 4.3723 5.6002 6.0346
angles (deg): 79.95 68.88 67.25
Fractional coordinates of all 6 atoms:
Na1 0.0770 0.1824 0.1631
Na2 0.9230 0.8176 0.8369
Al1 0.3402 0.2490 0.5728
Al2 0.6598 0.7510 0.4272
Ge1 0.3410 0.5974 0.2152
Ge2 0.6590 0.4026 0.7848

Below is NaAlGe after structural relaxation, with properties calculated at the GGA-PBE level.

a b c (Å): 4.3669 4.3669 7.0419
angles (deg): 90.00 90.00 90.00
Fractional coordinates of all 6 atoms:
Na1 0.2500 0.7500 0.0000
Na2 0.7500 0.2500 0.0000
Al1 0.2500 0.7500 0.5000
Al2 0.7500 0.2500 0.5000
Ge1 0.2500 0.2500 0.2935
Ge2 0.7500 0.7500 0.7065

Below is NaAlGe2 after structural relaxation, with properties calculated at the GGA-PBE level.

a b c (Å): 3.4936 3.4936 6.7700
angles (deg): 90.00 90.00 90.00
Fractional coordinates of all 4 atoms:
Na1 0.0000 0.0000 0.0000
Al1 0.0000 0.0000 0.5000
Ge1 0.5000 0.5000 0.3062
Ge2 0.5000 0.5000 0.6938

| no. | uncorrected energy (eV per atom) |
| --- | --- |
| 1 | -3.30 |
| 2 | -3.30 |
| 3 | -3.59 |